(1)
NaAlOs3 | the Alexandria database | PBE-GGA | relaxed; calculated density = 11.10 g/cm3; E_form = 1.717 eV per atom; offset from the most stable computed form = 0 meV/atom; crystal system = cubic; E_tot = -6.033 eV/atom
1.0
4.5279 0.0000 0.0000
0.0000 4.5279 0.0000
0.0000 0.0000 4.5279
Na Al Os
1 1 3
Direct
0.0000 0.0000 0.0000
0.5000 0.5000 0.5000
0.0000 0.5000 0.5000
0.5000 0.0000 0.5000
0.5000 0.5000 0.0000


(2)
As2RuRh2 | the Alexandria database | PBE-GGA | relaxed; calculated density = 10.11 g/cm3; E_form = -0.042 eV per atom; crystal system = tetragonal; E_tot = -6.698 eV/atom
1.0
6.8759 0.0000 0.0000
0.0000 6.8759 0.0000
0.0000 0.0000 3.1728
As Ru Rh
4 2 4
Direct
0.1573 0.3427 0.0000
0.3427 0.8427 0.0000
0.6573 0.1573 0.0000
0.8427 0.6573 0.0000
0.0000 0.0000 0.0000
0.5000 0.5000 0.0000
0.1439 0.6439 0.5000
0.3561 0.1439 0.5000
0.6439 0.8561 0.5000
0.8561 0.3561 0.5000